Below is a geometry-optimized NaLiZrO3 structure, with properties calculated at the PBE-GGA level.

## Properties
- uncorrected energy (Ha/atom) = -0.2541
- DOS(E_F) (states/eV per cell) = 0.000
- formation energy (no corrections) (eV per atom) = -2.4729
- ρ (g/cm3) = 3.7

Unit cell a=3.285 b=10.947 c=8.477 alpha=90.00 beta=90.00 gamma=90.00
Space group Cmcm (No. 63)
Asymmetric unit:
Na: 0.000 0.216 0.250 [4 per cell]
Li: 0.000 0.054 0.750 [4 per cell]
Zr: 0.000 0.500 0.000 [4 per cell]
O: 0.000 0.119 0.549 [8 per cell]
O: 0.000 0.457 0.750 [4 per cell]